(1)
GGA-PBE LaFeAu, relaxed; SG = F-43m
1.0
-3.548 2.955 0.134
-3.111 0.029 -3.414
-4.279 -1.563 0.762
Au La Fe
1 1 1
direct
0.500 0.500 0.500 Au
0.000 0.000 0.000 La
0.750 0.750 0.750 Fe

(2)
GGA-PBE LaFe2Au, relaxed; SG = Immm
1.0
5.111 -0.028 -0.062
1.629 4.844 0.062
-3.344 -2.444 2.994
La Fe Au
1 2 1
direct
0.750 0.250 0.500 La
0.000 0.000 0.000 Fe
0.500 0.500 0.000 Fe
0.250 0.750 0.500 Au

(3)
GGA-PBE LaFeAu, relaxed; SG = F-43m
1.0
4.896 0.000 0.000
2.448 4.240 0.000
2.448 1.413 3.998
Au Fe La
1 1 1
direct
0.000 0.000 0.000 Au
0.500 0.500 0.500 Fe
0.750 0.750 0.750 La

Listing density of states at the Fermi level for the structures above in their given order: 5.07; 4.85; 7.24 states/eV/cell.
Listing formation energy from the elements for the structures above in their given order: 0.035; 0.243; 0.502 eV per atom.